A relaxed Tb2PrNd3 crystal. Source: the Alexandria database, functional PBE.

Cell: 10.3142 7.2901 12.0959 Å, 90.00 115.19 90.00°
With the nearest neighbours (Å) after each atom.
Space group C2/c (No. 15)
Symmetry-distinct sites (fractional):
Tb  0.1661  0.1250  0.0822 (multiplicity 8)  2 Tb 3.63-3.64, 8 Nd 3.64-3.66, 2 Pr 3.65
Pr  0.0000  0.3751  0.2500 (multiplicity 4)  8 Nd 3.64-3.65, 4 Tb 3.65
Nd  0.0000  0.1246  0.7500 (multiplicity 4)  6 Tb 3.64-3.66, 2 Pr 3.64-3.65, 4 Nd 3.64-3.65
Nd  0.1668  0.3747  0.5836 (multiplicity 8)  5 Tb 3.64-3.66, 4 Nd 3.64-3.65, 3 Pr 3.64-3.65

Its formation energy is 12 meV per atom. As for the total energy: -4.712 eV per atom. As for the energy relative to the lowest polymorph listed for this composition: 0.000 eV per atom.